Entry 1:
First-principles (meta-GGA SCAN) data for SbWSe at its PBEsol-relaxed geometry, as listed in Alexandria via LeMat-Bulk.

abc: 3.181 3.181 7.561
angles: 90.00 90.00 120.00
Fractional coordinates of all 3 atoms:
Sb (0.000, 0.000, 0.000)
W (0.667, 0.333, 0.295)
Se (0.333, 0.667, 0.519)

Calculated values
The raw formation energy comes out at 0.11 eV/atom. As for the spin magnetization: 0.005 μB per formula unit. Its space-group type is P3m1. As for the relative energy among the computed polymorphs: 0 meV/atom. The density of states at the Fermi level comes out at 3.41 states/eV/f.u.

---

Entry 2:
First-principles (meta-GGA SCAN) data for Sb3WSe at its PBEsol-relaxed geometry, as listed in Alexandria via LeMat-Bulk.

abc: 5.132 5.132 5.132
angles: 90.00 90.00 90.00
Fractional coordinates of all 5 atoms:
Sb (0.000, 0.000, 0.500)
Sb (0.000, 0.500, 0.000)
Sb (0.500, 0.000, 0.000)
W (0.000, 0.000, 0.000)
Se (0.500, 0.500, 0.500)

Calculated values
The raw formation energy comes out at 0.56 eV/atom. As for the spin magnetization: 0.000 μB per formula unit. Its space-group type is Pm-3m. The density of states at the Fermi level comes out at 1.99 states/eV/f.u.

---

> What is the formula in the second record?

Sb3WSe